Entry 1:
Below is an optimized crystal structure of La5Tm3Bi8, with properties calculated at the GGA-PBE level.

Calculated formation energy   -0.942 eV per atom
Size of the total moment   0.0 μB/f.u.
Mass density   8.6 Mg/m³
Space group   No. 166

abc: 9.223 9.223 9.202
angles: 59.92 59.92 60.00
Sites, in units of the cell vectors:
Tm 0.500 0.000 0.500
Bi 0.761 0.250 0.739
Bi 0.245 0.245 0.266
La 0.500 0.000 0.000
La 0.000 0.500 0.000
La 0.500 0.500 0.000
Bi 0.250 0.761 0.739
Bi 0.750 0.239 0.261
La 0.500 0.500 0.500
Bi 0.750 0.750 0.261
Bi 0.239 0.750 0.261
La 0.000 0.000 0.000
Tm 0.000 0.500 0.500
Tm 0.000 0.000 0.500
Bi 0.755 0.755 0.734
Bi 0.250 0.250 0.739

***

Entry 2:
Below is an optimized crystal structure of Pt3RhS, with properties calculated at the GGA-PBE level.

Relative energy among the computed polymorphs   5.15 eV per formula unit
Size of the total moment   2.0 μB/f.u.
Mass density   10.8 Mg/m³
E_form (uncorrected)   1620.3 meV/atom
Space group   No. 221

abc: 4.805 4.805 4.805
angles: 90.00 90.00 90.00
Each line ends with the local moment (μB).
Sites, in units of the cell vectors:
Pt 0.000 0.500 0.000  0.28
Rh 0.000 0.000 0.000  0.81
Pt 0.500 0.000 0.000  0.12
Pt 0.000 0.000 0.500  0.60
S 0.500 0.500 0.500  0.08

***

Entry 3:
Below is an optimized crystal structure of Li4PmRh2, with properties calculated at the GGA-PBE level.

Calculated formation energy   -0.220 eV per atom
Size of the total moment   0.0 μB/f.u.
Mass density   5.1 Mg/m³
Space group   No. 65

abc: 3.963 3.916 8.256
angles: 103.72 90.00 90.00
Sites, in units of the cell vectors:
Pm 0.000 0.000 0.000
Rh 0.500 0.418 0.836
Rh 0.500 0.582 0.164
Li 0.000 0.324 0.647
Li 0.500 0.183 0.367
Li 0.500 0.817 0.633
Li 0.000 0.676 0.353